Density functional theory data (PBE+U) for a relaxed PtWF3 crystal.

abc: 4.355 4.355 4.355
angles: 90.00 90.00 90.00
Last column: magnetic moment on the atom in μB.
Element x y z (fractional)
W 0.500 0.500 0.500  3.89
Pt 0.000 0.000 0.000  -0.04
F 0.000 0.500 0.000  0.05
F 0.000 0.000 0.500  0.03
F 0.500 0.000 0.000  0.04

Output
Total DFT energy (no corrections): -3.86 eV/atom

Density functional theory data (PBE+U) for a relaxed PtWF2 crystal.

abc: 4.225 4.225 4.225
angles: 60.00 60.00 60.00
Element x y z (fractional)
W 0.000 0.000 0.000
Pt 0.500 0.500 0.500
F 0.250 0.250 0.250
F 0.750 0.750 0.750

Output
Total DFT energy (no corrections): -4.14 eV/atom

Density functional theory data (PBE+U) for a relaxed Pt2WF crystal.

abc: 4.410 4.410 4.410
angles: 60.00 60.00 60.00
Last column: magnetic moment on the atom in μB.
Element x y z (fractional)
W 0.500 0.500 0.500  0.86
Pt 0.250 0.250 0.250  -0.04
Pt 0.750 0.750 0.750  -0.04
F 0.000 0.000 0.000  0.03

Output
Total DFT energy (no corrections): -5.18 eV/atom

Density functional theory data (PBE+U) for a relaxed PtWF2 crystal.

abc: 3.971 3.971 7.991
angles: 75.61 75.61 90.00
Last column: magnetic moment on the atom in μB.
Element x y z (fractional)
W 0.500 0.500 0.000  1.68
W 0.250 0.750 0.500  1.68
Pt 0.000 0.000 0.000  -0.01
Pt 0.750 0.250 0.500  -0.02
F 0.502 0.125 0.250  -0.01
F 0.248 0.625 0.250  -0.01
F 0.375 0.498 0.750  -0.02
F 0.875 0.752 0.750  -0.02

Output
Total DFT energy (no corrections): -4.66 eV/atom

Density functional theory data (PBE+U) for a relaxed Pt2WF crystal.

abc: 8.376 8.376 6.322
angles: 48.51 48.51 90.00
Last column: magnetic moment on the atom in μB.
Element x y z (fractional)
W 0.000 0.000 0.000  2.22
W 0.750 0.250 0.500  2.22
Pt 0.689 0.125 0.250  -0.12
Pt 0.061 0.625 0.250  -0.12
Pt 0.375 0.311 0.750  -0.12
Pt 0.875 0.939 0.750  -0.12
F 0.500 0.500 0.000  0.04
F 0.250 0.750 0.500  0.04

Output
Total DFT energy (no corrections): -5.38 eV/atom

Density functional theory data (PBE+U) for a relaxed PtWF3 crystal.

abc: 4.278 4.278 4.278
angles: 90.00 90.00 90.00
Last column: magnetic moment on the atom in μB.
Element x y z (fractional)
W 0.000 0.000 0.000  2.82
Pt 0.500 0.500 0.500  -0.27
F 0.000 0.500 0.000  0.04
F 0.000 0.000 0.500  0.01
F 0.500 0.000 0.000  0.07

Output
Total DFT energy (no corrections): -4.79 eV/atom

Question: Which of these has the highest total DFT energy (no corrections)?
Answer: number 1